VASP calculation (PBEsol) on a relaxed structure of In2AgSe3I.

space group = No. 166
volume = 26.86 Å³/atom
M_tot = 0.00 μB/f.u.
raw formation energy = -418 meV per atom

Geometry as POSCAR:
```
In2AgSe3I
1.0
4.074 2.352 6.541
-4.074 2.352 6.541
0.000 -4.704 6.541
In Ag Se I
4 2 6 2
Direct
0.000 0.000 0.000
0.000 0.000 0.500
0.000 0.500 0.000
0.500 0.000 0.000
0.423 0.423 0.423
0.577 0.577 0.577
0.212 0.757 0.757
0.243 0.243 0.788
0.243 0.788 0.243
0.757 0.212 0.757
0.757 0.757 0.212
0.788 0.243 0.243
0.267 0.267 0.267
0.733 0.733 0.733
```